Compound: Cu2NiAsO6
Source: the Alexandria database
Functional: PBE+U
Structure: relaxed

Cell and atoms, written as POSCAR:
```
Cu2NiAsO6
1.0
4.798 -4.369 0.000
4.798 4.369 0.000
-0.650 0.000 5.115
Cu Ni As O
4 2 2 12
direct
0.094 0.286 0.297
0.286 0.094 0.797
0.714 0.906 0.203
0.906 0.714 0.703
0.414 0.586 0.750
0.586 0.414 0.250
0.237 0.763 0.250
0.763 0.237 0.750
0.027 0.219 0.638
0.150 0.644 0.924
0.219 0.027 0.138
0.297 0.489 0.378
0.356 0.850 0.576
0.489 0.297 0.878
0.511 0.703 0.122
0.644 0.150 0.424
0.703 0.511 0.622
0.781 0.973 0.862
0.850 0.356 0.076
0.973 0.781 0.362
```

* SG: No. 15
* DFT total energy: -5.29 eV/atom